This record from the Alexandria database describes a relaxed structure of BaPaFeN4. The functional is PBE.

The structure in POSCAR format:
```
BaPaFeN4
1.0
5.7472 0.0000 0.0000
0.0000 5.5253 0.0000
-2.2438 0.0000 7.1485
Ba Pa Fe N
2 2 2 8
Cartesian
0.2537 1.3813 3.0204
3.2497 4.1440 4.1281
-0.5704 1.3813 6.7505
4.0738 4.1440 0.3980
1.1698 4.1440 1.2474
2.3336 1.3813 5.9011
-0.3582 4.1440 2.2097
-1.7476 4.1440 6.7836
2.3477 2.8212 1.3708
2.3477 5.4668 1.3708
1.1557 0.0585 5.7776
1.1557 2.7041 5.7776
5.2511 1.3813 0.3648
3.8616 1.3813 4.9388
```

- Space-group type: P2_1/m (11)
- Final energy: -8.328 eV/atom
- Formation energy without anion corrections: -0.73 eV/atom
- D(E_F): 3.213 states/eV/f.u.

=====

This record from the Alexandria database describes a relaxed structure of Ba4Pa3FeN8. The functional is PBE.

The structure in POSCAR format:
```
Ba4Pa3FeN8
1.0
3.6054 2.0816 6.3668
-3.6054 2.0816 6.3668
0.0000 -4.1632 6.3668
Ba Pa Fe N
4 3 1 8
Cartesian
0.0000 0.0000 0.0000
-1.8027 -1.0408 6.3668
-1.8027 1.0408 12.7336
0.0000 2.0816 6.3668
-3.6054 0.0000 9.5502
-1.8027 1.0408 3.1834
1.8027 1.0408 3.1834
0.0000 0.0000 9.5502
-1.9079 -1.1015 10.6927
0.0000 0.0000 4.3305
0.0000 -2.2031 8.4078
-1.9079 1.1015 8.4078
1.9079 -1.1015 10.6927
0.0000 2.2031 10.6927
0.0000 0.0000 14.7700
1.9079 1.1015 8.4078
```

- Space-group type: R-3m (166)
- Final energy: -7.874 eV/atom
- Formation energy without anion corrections: -0.92 eV/atom
- D(E_F): 4.598 states/eV/f.u.

=====

This record from the Alexandria database describes a relaxed structure of BaFePbN2. The functional is PBE.

The structure in POSCAR format:
```
BaFePbN2
1.0
4.6812 0.0000 0.0000
0.0000 4.6812 0.0000
0.0000 0.0000 4.9810
Ba Fe Pb N
1 1 1 2
Cartesian
0.0000 0.0000 0.0000
2.3406 2.3406 0.0000
2.3406 2.3406 2.4905
0.0000 2.3406 2.4905
2.3406 0.0000 2.4905
```

- Space-group type: P4/mmm (123)
- Final energy: -4.841 eV/atom
- Formation energy without anion corrections: 1.31 eV/atom
- D(E_F): 3.760 states/eV/f.u.

=====

This record from the Alexandria database describes a relaxed structure of Ba2FePtN. The functional is PBE.

The structure in POSCAR format:
```
Ba2FePtN
1.0
5.7636 0.0000 0.0000
0.0000 5.7636 0.0000
0.0000 0.0000 3.6158
Ba Fe Pt N
2 1 1 1
Cartesian
0.0000 2.8818 0.0000
2.8818 0.0000 0.0000
0.0000 0.0000 1.8079
2.8818 2.8818 1.8079
0.0000 0.0000 0.0000
```

- Space-group type: P4/mmm (123)
- Final energy: -5.703 eV/atom
- Formation energy without anion corrections: -0.37 eV/atom
- D(E_F): 4.265 states/eV/f.u.